(1)
This record from Alexandria via LeMat-Bulk describes K2NpWN4 after structural relaxation. The functional is GGA-PBE.

abc: 6.067 7.401 7.157
angles: 90.00 90.00 90.00
Site moments in Bohr magnetons follow the coordinates.
Element x y z (fractional)
1 K 0.481 0.340 0.751  0.01
2 K 0.981 0.660 0.251  0.01
3 K 0.481 0.340 0.249  0.01
4 K 0.981 0.660 0.749  0.01
5 N 0.445 0.723 0.725  -0.07
6 N 0.306 0.101 0.000  -0.07
7 N 0.445 0.723 0.275  -0.07
8 N 0.842 0.929 0.000  -0.06
9 N 0.945 0.277 0.225  -0.07
10 N 0.806 0.899 0.500  -0.07
11 N 0.342 0.071 0.500  -0.06
12 N 0.945 0.277 0.775  -0.07
13 Np 0.997 0.142 0.500  3.00
14 Np 0.497 0.858 0.000  3.00
15 W 0.503 0.852 0.500  0.03
16 W 0.003 0.148 0.000  0.03

* SG: Pmn2_1
* final energy: -8.20 eV/atom
* total moment: 0.375 μB per atom
* raw formation energy: -0.53 eV per atom

***

(2)
This record from Alexandria via LeMat-Bulk describes KN4O12 after structural relaxation. The functional is GGA-PBE.

abc: 6.941 6.941 6.941
angles: 109.47 109.47 109.47
Site moments in Bohr magnetons follow the coordinates.
Element x y z (fractional)
1 O 0.578 0.445 0.868  -0.23
2 O 0.868 0.578 0.445  -0.23
3 O 0.578 0.710 0.132  -0.23
4 O 0.132 0.578 0.710  -0.23
5 O 0.868 0.422 0.290  -0.23
6 O 0.422 0.290 0.868  -0.23
7 O 0.555 0.132 0.422  -0.23
8 O 0.422 0.555 0.132  -0.23
9 O 0.445 0.868 0.578  -0.23
10 O 0.132 0.422 0.555  -0.23
11 O 0.710 0.132 0.578  -0.23
12 O 0.290 0.868 0.422  -0.23
13 N 0.000 0.500 0.000  1.76
14 N 0.000 0.000 0.500  1.76
15 N 0.500 0.500 0.500  1.76
16 N 0.500 0.000 0.000  1.76
17 K 0.000 0.000 0.000  0.01

* SG: Im-3
* final energy: -4.42 eV/atom
* total moment: 0.416 μB per atom
* raw formation energy: 1.10 eV per atom

***

(3)
This record from Alexandria via LeMat-Bulk describes K3N4O after structural relaxation. The functional is GGA-PBE.

abc: 3.572 5.472 8.758
angles: 108.49 101.77 90.00
Site moments in Bohr magnetons follow the coordinates.
Element x y z (fractional)
1 N 0.323 0.213 0.645  0.14
2 N 0.323 0.425 0.646  0.15
3 N 0.677 0.575 0.354  0.15
4 N 0.677 0.787 0.355  0.14
5 K 0.882 0.880 0.764  0.01
6 K 0.118 0.120 0.236  0.01
7 K 0.000 0.500 0.000  0.00
8 O 0.500 0.000 0.000  0.00

* SG: C2/m
* final energy: -5.58 eV/atom
* total moment: 0.130 μB per atom
* raw formation energy: -0.39 eV per atom

***

(4)
This record from Alexandria via LeMat-Bulk describes K8NO3 after structural relaxation. The functional is GGA-PBE.

abc: 6.564 6.564 6.564
angles: 90.00 90.00 90.00
Site moments in Bohr magnetons follow the coordinates.
Element x y z (fractional)
1 K 0.253 0.253 0.253  0.00
2 K 0.747 0.253 0.747  0.00
3 K 0.747 0.747 0.747  0.00
4 K 0.747 0.253 0.253  0.00
5 K 0.253 0.747 0.747  0.00
6 K 0.253 0.747 0.253  0.00
7 K 0.253 0.253 0.747  0.00
8 K 0.747 0.747 0.253  0.00
9 N 0.000 0.000 0.000  0.58
10 O 0.000 0.500 0.500  0.01
11 O 0.500 0.500 0.000  0.01
12 O 0.500 0.000 0.500  0.01

* SG: Pm-3m
* final energy: -3.25 eV/atom
* total moment: 0.083 μB per atom
* raw formation energy: -0.59 eV per atom

***

(5)
This record from Alexandria via LeMat-Bulk describes K3NO after structural relaxation. The functional is GGA-PBE.

abc: 5.171 5.171 5.171
angles: 90.00 90.00 90.00
Site moments in Bohr magnetons follow the coordinates.
Element x y z (fractional)
1 K 0.500 0.000 0.000  0.00
2 K 0.000 0.500 0.000  0.00
3 K 0.000 0.000 0.500  -0.01
4 O 0.000 0.000 0.000  0.11
5 N 0.500 0.500 0.500  1.21

* SG: Pm-3m
* final energy: -3.28 eV/atom
* total moment: 0.400 μB per atom
* raw formation energy: 0.04 eV per atom

***

(6)
This record from Alexandria via LeMat-Bulk describes KOsNO2 after structural relaxation. The functional is GGA-PBE.

abc: 3.978 3.978 3.836
angles: 90.00 90.00 90.00
Element x y z (fractional)
1 N 0.000 0.000 0.500
2 Os 0.000 0.000 0.000
3 O 0.000 0.500 0.000
4 O 0.500 0.000 0.000
5 K 0.500 0.500 0.500

* SG: P4/mmm
* final energy: -6.76 eV/atom
* total moment: 0.000 μB per atom
* raw formation energy: -0.64 eV per atom

***

(7)
This record from Alexandria via LeMat-Bulk describes KOsNO2 after structural relaxation. The functional is GGA-PBE.

abc: 4.215 4.215 4.184
angles: 90.00 90.00 90.00
Site moments in Bohr magnetons follow the coordinates.
Element x y z (fractional)
1 O 0.000 0.500 0.000  0.60
2 O 0.500 0.000 0.000  0.60
3 K 0.000 0.000 0.000  0.13
4 Os 0.500 0.500 0.500  -0.09
5 N 0.000 0.000 0.500  0.22

* SG: P4/mmm
* final energy: -3.28 eV/atom
* total moment: 0.333 μB per atom
* raw formation energy: 2.84 eV per atom

***

(8)
This record from Alexandria via LeMat-Bulk describes KOsN2O after structural relaxation. The functional is GGA-PBE.

abc: 4.082 4.082 4.129
angles: 90.00 90.00 90.00
Site moments in Bohr magnetons follow the coordinates.
Element x y z (fractional)
1 K 0.000 0.000 0.000  -0.01
2 N 0.000 0.500 0.000  0.00
3 N 0.500 0.000 0.000  0.00
4 Os 0.500 0.500 0.500  -0.03
5 O 0.000 0.000 0.500  -0.11

* SG: P4/mmm
* final energy: -3.31 eV/atom
* total moment: 0.032 μB per atom
* raw formation energy: 3.48 eV per atom

***

(9)
This record from Alexandria via LeMat-Bulk describes KOsN2O after structural relaxation. The functional is GGA-PBE.

abc: 3.873 3.873 4.066
angles: 90.00 90.00 90.00
Element x y z (fractional)
1 N 0.500 0.000 0.000
2 N 0.000 0.500 0.000
3 Os 0.000 0.000 0.000
4 K 0.500 0.500 0.500
5 O 0.000 0.000 0.500

* SG: P4/mmm
* final energy: -6.82 eV/atom
* total moment: 0.000 μB per atom
* raw formation energy: -0.03 eV per atom

***

(10)
This record from Alexandria via LeMat-Bulk describes KP2NO after structural relaxation. The functional is GGA-PBE.

abc: 3.832 3.832 6.587
angles: 90.00 90.00 90.00
Site moments in Bohr magnetons follow the coordinates.
Element x y z (fractional)
1 K 0.500 0.500 0.500  0.00
2 P 0.500 0.000 0.000  0.08
3 P 0.000 0.500 0.000  0.08
4 O 0.000 0.000 0.500  0.85
5 N 0.000 0.000 0.000  0.21

* SG: P4/mmm
* final energy: -4.34 eV/atom
* total moment: 0.343 μB per atom
* energy above the lowest structure with this stoichiometry: 0.000 eV/atom
* raw formation energy: 0.70 eV per atom

***

(11)
This record from Alexandria via LeMat-Bulk describes KP2NO after structural relaxation. The functional is GGA-PBE.

abc: 6.439 6.439 4.497
angles: 90.00 90.00 90.00
Site moments in Bohr magnetons follow the coordinates.
Element x y z (fractional)
1 P 0.500 0.000 0.000  0.07
2 P 0.000 0.500 0.000  0.07
3 N 0.500 0.500 0.500  1.86
4 K 0.000 0.000 0.000  0.04
5 O 0.000 0.000 0.500  -0.13

* SG: P4/mmm
* final energy: -2.35 eV/atom
* total moment: 0.593 μB per atom
* energy above the lowest structure with this stoichiometry: 1.991 eV/atom
* raw formation energy: 2.69 eV per atom

***

(12)
This record from Alexandria via LeMat-Bulk describes KReNO2 after structural relaxation. The functional is GGA-PBE.

abc: 4.065 4.065 4.507
angles: 90.00 90.00 90.00
Site moments in Bohr magnetons follow the coordinates.
Element x y z (fractional)
1 N 0.000 0.000 0.500  0.72
2 Re 0.500 0.500 0.500  0.23
3 O 0.000 0.500 0.000  0.31
4 O 0.500 0.000 0.000  0.31
5 K 0.000 0.000 0.000  0.16

* SG: P4/mmm
* final energy: -3.64 eV/atom
* total moment: 0.419 μB per atom
* raw formation energy: 2.72 eV per atom

***

(13)
This record from Alexandria via LeMat-Bulk describes KReNO2 after structural relaxation. The functional is GGA-PBE.

abc: 3.965 3.965 3.893
angles: 90.00 90.00 90.00
Element x y z (fractional)
1 N 0.000 0.000 0.500
2 Re 0.000 0.000 0.000
3 O 0.500 0.000 0.000
4 O 0.000 0.500 0.000
5 K 0.500 0.500 0.500

* SG: P4/mmm
* final energy: -7.45 eV/atom
* total moment: 0.000 μB per atom
* raw formation energy: -1.09 eV per atom

***

(14)
This record from Alexandria via LeMat-Bulk describes KRhN2O after structural relaxation. The functional is GGA-PBE.

abc: 4.344 4.344 4.330
angles: 90.00 90.00 90.00
Site moments in Bohr magnetons follow the coordinates.
Element x y z (fractional)
1 K 0.000 0.000 0.000  0.04
2 O 0.000 0.000 0.500  0.98
3 Rh 0.500 0.500 0.500  -0.30
4 N 0.000 0.500 0.000  0.57
5 N 0.500 0.000 0.000  0.57

* SG: P4/mmm
* final energy: -3.00 eV/atom
* total moment: 0.482 μB per atom
* raw formation energy: 3.01 eV per atom

***

(15)
This record from Alexandria via LeMat-Bulk describes K3RhN6O12 after structural relaxation. The functional is GGA-PBE.

abc: 7.846 7.846 7.846
angles: 60.00 60.00 60.00
Site moments in Bohr magnetons follow the coordinates.
Element x y z (fractional)
1 N 0.818 0.182 0.818  0.90
2 N 0.182 0.818 0.182  0.90
3 N 0.818 0.182 0.182  0.90
4 N 0.182 0.818 0.818  0.90
5 N 0.182 0.182 0.818  0.90
6 N 0.818 0.818 0.182  0.90
7 O 0.582 0.000 0.418  -0.52
8 O 0.418 0.582 0.000  -0.52
9 O 0.582 0.000 0.000  -0.52
10 O 0.000 0.582 0.418  -0.52
11 O 0.000 0.418 0.000  -0.52
12 O 0.000 0.582 0.000  -0.52
13 O 0.418 0.000 0.000  -0.52
14 O 0.000 0.000 0.418  -0.52
15 O 0.000 0.418 0.582  -0.52
16 O 0.582 0.418 0.000  -0.52
17 O 0.418 0.000 0.582  -0.52
18 O 0.000 0.000 0.582  -0.52
19 K 0.750 0.750 0.750  0.00
20 K 0.500 0.500 0.500  0.00
21 K 0.250 0.250 0.250  0.00
22 Rh 0.000 0.000 0.000  -0.19

* SG: Fm-3m
* final energy: -4.66 eV/atom
* total moment: 0.002 μB per atom
* raw formation energy: 0.79 eV per atom

***

(16)
This record from Alexandria via LeMat-Bulk describes KRhN2O after structural relaxation. The functional is GGA-PBE.

abc: 3.831 3.831 4.489
angles: 90.00 90.00 90.00
Site moments in Bohr magnetons follow the coordinates.
Element x y z (fractional)
1 Rh 0.000 0.000 0.000  -0.04
2 O 0.000 0.000 0.500  -0.21
3 K 0.500 0.500 0.500  0.00
4 N 0.500 0.000 0.000  0.02
5 N 0.000 0.500 0.000  0.02

* SG: P4/mmm
* final energy: -5.47 eV/atom
* total moment: 0.048 μB per atom
* raw formation energy: 0.54 eV per atom

***

(17)
This record from Alexandria via LeMat-Bulk describes KRuNO2 after structural relaxation. The functional is GGA-PBE.

abc: 4.017 4.017 3.804
angles: 90.00 90.00 90.00
Site moments in Bohr magnetons follow the coordinates.
Element x y z (fractional)
1 O 0.000 0.500 0.000  0.06
2 O 0.500 0.000 0.000  0.06
3 K 0.500 0.500 0.500  0.00
4 Ru 0.000 0.000 0.000  0.18
5 N 0.000 0.000 0.500  0.05

* SG: P4/mmm
* final energy: -6.19 eV/atom
* total moment: 0.080 μB per atom
* raw formation energy: -0.47 eV per atom

***

(18)
This record from Alexandria via LeMat-Bulk describes KRuNO2 after structural relaxation. The functional is GGA-PBE.

abc: 4.198 4.198 4.242
angles: 90.00 90.00 90.00
Site moments in Bohr magnetons follow the coordinates.
Element x y z (fractional)
1 K 0.000 0.000 0.000  0.01
2 O 0.500 0.000 0.000  -0.04
3 O 0.000 0.500 0.000  -0.04
4 N 0.000 0.000 0.500  -0.25
5 Ru 0.500 0.500 0.500  -0.01

* SG: P4/mmm
* final energy: -3.21 eV/atom
* total moment: 0.087 μB per atom
* raw formation energy: 2.51 eV per atom

***

(19)
This record from Alexandria via LeMat-Bulk describes K2RuNO after structural relaxation. The functional is GGA-PBE.

abc: 6.012 3.675 6.012
angles: 90.00 90.00 90.00
Site moments in Bohr magnetons follow the coordinates.
Element x y z (fractional)
1 K 0.000 0.000 0.500  0.00
2 K 0.500 0.000 0.000  0.00
3 Ru 0.000 0.000 0.000  0.18
4 N 0.000 0.500 0.000  0.01
5 O 0.500 0.500 0.500  0.78

* SG: P4/mmm
* final energy: -4.54 eV/atom
* total moment: 0.255 μB per atom
* raw formation energy: 0.41 eV per atom

***

(20)
This record from Alexandria via LeMat-Bulk describes KS2NO after structural relaxation. The functional is GGA-PBE.

abc: 6.250 6.250 6.040
angles: 90.00 90.00 90.00
Site moments in Bohr magnetons follow the coordinates.
Element x y z (fractional)
1 N 0.000 0.000 0.500  1.91
2 O 0.500 0.500 0.500  -1.33
3 S 0.000 0.500 0.000  0.93
4 S 0.500 0.000 0.000  0.93
5 K 0.000 0.000 0.000  0.01

* SG: P4/mmm
* final energy: -2.41 eV/atom
* total moment: 0.896 μB per atom
* energy above the lowest structure with this stoichiometry: 1.133 eV/atom
* raw formation energy: 2.11 eV per atom